# 1
DFT (PBE) results for crystalline Sr2AsAu3 at its relaxed geometry.

Lattice parameters (Å, degrees): 9.3771 9.0885 6.2163 72.85 67.84 39.31
Closest atoms and distances in Å follow each position.
Atoms (fractional coordinates):
Sr1 0.2383 0.7617 0.7617  10 Au 3.40-3.42, 2 As 3.43
Sr2 0.2500 0.2500 0.2500  8 Au 3.36, 4 As 3.40
Sr3 0.7500 0.7500 0.7500  8 Au 3.36, 4 As 3.40
Sr4 0.7617 0.2383 0.2383  10 Au 3.40-3.42, 2 As 3.43
As1 0.3351 0.3351 0.6649  3 Au 2.61-2.66
As2 0.6649 0.6649 0.3351  3 Au 2.61-2.66
Au1 0.1715 0.1715 0.8285  1 As 2.66, 2 Au 2.79
Au2 0.1718 0.6567 0.3433  1 As 2.61, 2 Au 2.78-2.79
Au3 0.3433 0.8282 0.1718  1 As 2.61, 2 Au 2.78-2.79
Au4 0.6567 0.1718 0.8282  1 As 2.61, 2 Au 2.78-2.79
Au5 0.8282 0.3433 0.6567  1 As 2.61, 2 Au 2.78-2.79
Au6 0.8285 0.8285 0.1715  1 As 2.66, 2 Au 2.79

The calculation puts the formation energy at -806 meV per atom. As for the space group: Fmmm.

# 2
DFT (PBE) results for crystalline Hf2Zr6Ru at its relaxed geometry.

Lattice parameters (Å, degrees): 8.7514 8.7514 3.1021 93.16 93.16 57.30
Closest atoms and distances in Å follow each position.
Atoms (fractional coordinates):
Hf1 0.1719 0.1719 0.4655  2 Hf 3.10, 10 Zr 3.11-3.31
Hf2 0.8281 0.8281 0.5345  2 Hf 3.10, 10 Zr 3.11-3.31
Zr1 0.1630 0.5083 0.0033  6 Zr 2.90-3.21, 1 Ru 2.91, 2 Hf 3.11-3.21
Zr2 0.2064 0.7936 0.5000  2 Ru 2.91, 6 Zr 3.05-3.21, 2 Hf 3.16
Zr3 0.4917 0.8370 0.9967  6 Zr 2.90-3.21, 1 Ru 2.91, 2 Hf 3.11-3.21
Zr4 0.5083 0.1630 0.0033  6 Zr 2.90-3.21, 1 Ru 2.91, 2 Hf 3.11-3.21
Zr5 0.7936 0.2064 0.5000  2 Ru 2.91, 6 Zr 3.05-3.21, 2 Hf 3.16
Zr6 0.8370 0.4917 0.9967  6 Zr 2.90-3.21, 1 Ru 2.91, 2 Hf 3.11-3.21
Ru1 0.5000 0.5000 0.0000  8 Zr 2.91, 2 Ru 3.10

The calculation puts the formation energy at 96 meV per atom. As for the space group: C2/m.

# 3
DFT (PBE) results for crystalline MgZrTiCd at its relaxed geometry.

Lattice parameters (Å, degrees): 10.1160 10.1160 10.1160 162.97 162.97 24.17
Closest atoms and distances in Å follow each position.
Atoms (fractional coordinates):
Mg1 0.0000 0.0000 0.0000  4 Mg 3.00, 1 Ti 3.02, 4 Cd 3.14
Zr1 0.7557 0.7557 0.0000  4 Ti 2.94, 4 Zr 3.00, 4 Cd 3.29
Ti1 0.1526 0.1526 0.0000  4 Zr 2.94, 4 Ti 3.00, 1 Mg 3.02
Cd1 0.3830 0.3830 0.0000  4 Cd 3.00, 4 Mg 3.14, 4 Zr 3.29

The calculation puts the formation energy at 110 meV per atom. As for the space group: I4mm.

# 4
DFT (PBE) results for crystalline SrSn3Au at its relaxed geometry.

Lattice parameters (Å, degrees): 5.4965 5.4965 5.4965 90.00 90.00 90.00
Closest atoms and distances in Å follow each position.
Atoms (fractional coordinates):
Sr1 0.0000 0.0000 0.0000  12 Sn 3.89
Sn1 0.0000 0.5000 0.5000  2 Au 2.75
Sn2 0.5000 0.0000 0.5000  2 Au 2.75
Sn3 0.5000 0.5000 0.0000  2 Au 2.75
Au1 0.5000 0.5000 0.5000  6 Sn 2.75

The calculation puts the formation energy at -55 meV per atom. As for the space group: Pm-3m.

# 5
DFT (PBE) results for crystalline Tl2TcAgF8 at its relaxed geometry.

Lattice parameters (Å, degrees): 5.2021 5.9283 8.0414 89.93 89.93 84.38
Closest atoms and distances in Å follow each position.
Atoms (fractional coordinates):
Tl1 0.0004 0.0002 0.2450  3 F 2.57-2.88
Tl2 0.9996 0.9998 0.7550  3 F 2.57-2.88
Tc1 0.5000 0.5000 0.5000  6 F 1.92-1.93
Ag1 0.5000 0.5000 0.0000  2 F 2.10
F1 0.1709 0.6788 0.5001  1 Tc 1.92
F2 0.2007 0.7661 0.0000  1 Ag 2.10
F3 0.3885 0.3078 0.6744  1 Tc 1.93
F4 0.3888 0.3083 0.3257  1 Tc 1.93
F5 0.6112 0.6917 0.6743  1 Tc 1.93
F6 0.6115 0.6922 0.3256  1 Tc 1.93
F7 0.7993 0.2339 0.0000  1 Ag 2.10
F8 0.8291 0.3212 0.4999  1 Tc 1.92

The calculation puts the calculated total energy at -4.587 eV per atom. As for the space group: P-1.

# 6
DFT (PBE) results for crystalline AcAsPt at its relaxed geometry.

Lattice parameters (Å, degrees): 4.4726 4.4726 8.4710 90.00 90.00 120.00
Closest atoms and distances in Å follow each position.
Atoms (fractional coordinates):
Ac1 0.0000 0.0000 0.0000  6 As 3.34, 6 Pt 3.34
Ac2 0.0000 0.0000 0.5000  6 As 3.34, 6 Pt 3.34
As1 0.3333 0.6667 0.2500  3 Pt 2.58
As2 0.6667 0.3333 0.7500  3 Pt 2.58
Pt1 0.3333 0.6667 0.7500  3 As 2.58
Pt2 0.6667 0.3333 0.2500  3 As 2.58

The calculation puts the formation energy at -1275 meV per atom. As for the space group: P6_3/mmc.

# 7
DFT (PBE) results for crystalline KLaEr4S8 at its relaxed geometry.

Lattice parameters (Å, degrees): 8.3457 8.3457 8.3457 58.38 58.38 58.38
Closest atoms and distances in Å follow each position.
Atoms (fractional coordinates):
K1 0.0000 0.0000 0.0000  4 S 2.86-2.87
La1 0.6337 0.6337 0.6337  6 S 2.80-2.98
Er1 0.1165 0.6343 0.6343  6 S 2.63-2.89
Er2 0.2555 0.2555 0.2555  4 S 2.63-2.71
Er3 0.6343 0.1165 0.6343  6 S 2.63-2.89
Er4 0.6343 0.6343 0.1165  6 S 2.63-2.89
S1 0.3797 0.3797 0.8623  3 Er 2.63-2.87
S2 0.3797 0.8623 0.3797  3 Er 2.63-2.87
S3 0.3867 0.3867 0.3867  4 Er 2.71-2.89
S4 0.4278 0.8716 0.8716  2 Er 2.63, 1 La 2.80, 1 K 2.87
S5 0.8623 0.3797 0.3797  3 Er 2.63-2.87
S6 0.8617 0.8617 0.8617  3 Er 2.65, 1 K 2.86
S7 0.8716 0.4278 0.8716  2 Er 2.63, 1 La 2.80, 1 K 2.87
S8 0.8716 0.8716 0.4278  2 Er 2.63, 1 La 2.80, 1 K 2.87

The calculation puts the calculated total energy at -6.033 eV per atom. As for the space group: R3m.

# 8
DFT (PBE) results for crystalline BaCr2Ni at its relaxed geometry.

Lattice parameters (Å, degrees): 6.0470 6.0470 6.0470 148.64 127.34 62.58
Closest atoms and distances in Å follow each position.
Atoms (fractional coordinates):
Ba1 0.0000 0.0000 0.0000  4 Ni 3.14, 2 Ba 3.27, 4 Cr 3.35
Cr1 0.3063 0.8063 0.5000  2 Ni 2.58
Cr2 0.6937 0.1937 0.5000  2 Ni 2.58
Ni1 0.5000 0.5000 0.0000  4 Cr 2.58

The calculation puts the formation energy at 904 meV per atom. As for the space group: Immm.